PBE Er2ScGa6, relaxed; density of states at the Fermi level = 0.49 states/eV per atom; formation energy from the elements = -0.57 eV per atom; E above lowest polymorph = 0.00 eV/f.u.
1.0
7.4226 0.0000 0.0000
-3.7113 6.4282 0.0000
0.0000 0.0000 3.6798
Er Sc Ga
2 1 6
Direct
0.3333 0.6667 0.0000
0.6667 0.3333 0.0000
0.0000 0.0000 0.0000
0.0000 0.3310 0.5000
0.0000 0.6690 0.5000
0.3310 0.0000 0.5000
0.3310 0.3310 0.5000
0.6690 0.0000 0.5000
0.6690 0.6690 0.5000